Entry 1:
LiPm2Ni3Sn4: relaxed, PBE.

a b c (Å): 4.447 4.447 10.339
angles (deg): 90.00 90.00 90.00
Positions (direct):
Li1 0.000 0.000 0.000
Pm1 0.000 0.500 0.755
Pm2 0.500 0.000 0.245
Ni1 0.000 0.500 0.374
Ni2 0.500 0.000 0.626
Ni3 0.500 0.500 0.000
Sn1 0.000 0.000 0.500
Sn2 0.000 0.500 0.132
Sn3 0.500 0.000 0.868
Sn4 0.500 0.500 0.500

formation energy from the elements = -5.29 eV/f.u.
size of the total moment = 0.000 μB per atom
calculated total energy = -0.368 Ry/atom

Entry 2:
Sm3AlB2Pt9: relaxed, PBE.

a b c (Å): 5.787 5.787 9.199
angles (deg): 90.00 90.00 120.00
Positions (direct):
Sm1 0.000 0.000 0.000
Sm2 0.333 0.667 0.608
Sm3 0.667 0.333 0.392
Al1 0.000 0.000 0.500
B1 0.333 0.667 0.149
B2 0.667 0.333 0.851
Pt1 0.000 0.500 0.000
Pt2 0.165 0.329 0.289
Pt3 0.165 0.835 0.289
Pt4 0.329 0.165 0.711
Pt5 0.500 0.000 0.000
Pt6 0.500 0.500 0.000
Pt7 0.671 0.835 0.289
Pt8 0.835 0.165 0.711
Pt9 0.835 0.671 0.711

formation energy from the elements = -13.36 eV/f.u.
size of the total moment = 0.000 μB per atom
calculated total energy = -0.485 Ry/atom

> Among the records above, which one has the lowest calculated total energy?

Sm3AlB2Pt9